Entry 1:
Computed, not measured: a geometry-optimized SmDyCd2 structure at the PBE level of DFT.

```
4
Lattice="3.7586 0.0000 0.0000 0.0000 3.7586 0.0000 0.0000 0.0000 7.6426" Properties=species:S:1:pos:R:3 pbc="T T T"
Cd 0.0000 0.0000 5.8117
Cd 0.0000 0.0000 1.8308
Sm 1.8793 1.8793 3.8213
Dy 1.8793 1.8793 0.0000
```

Calculated values
- Symmetry: P4/mmm, No. 123
- Energy relative to the elements: -0.316 eV/atom
- Crystal system: tetragonal

***

Entry 2:
Computed, not measured: a geometry-optimized Sm2Dy3Cd2 structure at the PBE level of DFT.

```
7
Lattice="-1.1900 -1.3015 5.1275 2.0979 -3.7383 -3.3290 6.3883 5.0534 2.7653" Properties=species:S:1:pos:R:3 pbc="T T T"
Sm 2.4424 -2.9948 2.6737
Sm 4.8539 3.0084 1.8901
Dy -0.5950 -0.6508 2.5638
Dy 2.8682 0.3458 3.6205
Dy 4.4280 -0.3322 0.9433
Cd 5.7786 1.1868 4.5094
Cd 1.5177 -1.1732 0.0544
```

Calculated values
- Symmetry: C2/m, No. 12
- Energy relative to the elements: -0.150 eV/atom
- Distance to the lowest polymorph of the same formula: 0.000 eV/atom
- Crystal system: monoclinic

***

Entry 3:
Computed, not measured: a geometry-optimized SmDy3Cd2 structure at the PBE level of DFT.

```
6
Lattice="3.6636 0.0000 0.0000 0.0000 3.6636 0.0000 0.0000 0.0000 12.7202" Properties=species:S:1:pos:R:3 pbc="T T T"
Sm 1.8318 1.8318 6.3601
Dy 0.0000 0.0000 0.0000
Dy 0.0000 0.0000 8.8489
Dy 0.0000 0.0000 3.8713
Cd 1.8318 1.8318 10.7946
Cd 1.8318 1.8318 1.9256
```

Calculated values
- Symmetry: P4/mmm, No. 123
- Energy relative to the elements: -0.200 eV/atom
- Crystal system: tetragonal

***

Entry 4:
Computed, not measured: a geometry-optimized SmDy5Cd6 structure at the PBE level of DFT.

```
12
Lattice="5.0237 -0.0300 1.6742 0.0405 7.5413 0.0135 -0.0041 -0.0150 8.3866" Properties=species:S:1:pos:R:3 pbc="T T T"
Cd 4.2062 5.6025 4.2281
Cd 4.1862 1.8788 4.2215
Cd 2.5220 1.8917 0.8405
Cd 2.5422 5.6196 0.8472
Cd 0.8739 5.6175 5.8528
Cd 0.8539 1.8938 5.8462
Sm 0.0000 0.0000 0.0000
Dy 3.3596 3.7406 6.7350
Dy 1.6692 -0.0150 3.3657
Dy 0.0203 3.7706 0.0067
Dy 3.3504 -0.0300 6.6951
Dy 1.7005 3.7556 3.3393
```

Calculated values
- Symmetry: Cmmm, No. 65
- Energy relative to the elements: -0.317 eV/atom
- Crystal system: orthorhombic

***

Entry 5:
Computed, not measured: a geometry-optimized SmDyCd3 structure at the PBE level of DFT.

```
10
Lattice="-3.2023 0.3106 1.3563 -0.0868 -4.9087 0.9192 7.5115 2.2501 12.7254" Properties=species:S:1:pos:R:3 pbc="T T T"
Sm 3.3594 -1.4809 12.7647
Sm 0.8630 -0.8671 2.2362
Dy 2.4765 -2.6472 6.4533
Dy 1.7459 0.2992 8.5477
Cd -0.2249 -2.9396 4.6363
Cd 4.4473 0.5916 10.3646
Cd -1.3834 -3.4111 2.0089
Cd 5.6059 1.0632 12.9920
Cd 0.4587 -0.2247 5.6285
Cd 3.7637 -2.1233 9.3724
```

Calculated values
- Symmetry: Cmcm, No. 63
- Energy relative to the elements: -0.302 eV/atom
- Distance to the lowest polymorph of the same formula: 0.000 eV/atom
- Crystal system: orthorhombic

***

Entry 6:
Computed, not measured: a geometry-optimized Sm2Dy2Cd structure at the PBE level of DFT.

```
5
Lattice="-2.3692 -1.8522 -1.9884 1.6015 1.1795 -3.0069 7.4902 -8.9189 2.6519" Properties=species:S:1:pos:R:3 pbc="T T T"
Sm 3.9562 -5.9888 -2.4034
Sm 2.7663 -3.6028 0.0600
Dy 0.8569 -1.9523 -2.4707
Dy 5.8656 -7.6393 0.1273
Cd 0.0000 0.0000 0.0000
```

Calculated values
- Symmetry: I4/mmm, No. 139
- Energy relative to the elements: -0.113 eV/atom
- Distance to the lowest polymorph of the same formula: 0.000 eV/atom
- Crystal system: tetragonal

***

Entry 7:
Computed, not measured: a geometry-optimized SmDy2Cd2 structure at the PBE level of DFT.

```
10
Lattice="-2.1964 -0.6703 2.9489 4.0425 -2.6521 2.4081 5.3453 12.1058 4.3593" Properties=species:S:1:pos:R:3 pbc="T T T"
Sm 4.9226 5.9542 7.3802
Sm 2.2688 2.8293 2.3361
Dy 3.4221 -0.9050 2.3449
Dy 3.7693 9.6885 7.3714
Dy 5.0399 3.5741 4.5620
Dy 2.1515 5.2093 5.1543
Cd 3.1324 0.9998 4.9289
Cd 4.0590 7.7837 4.7873
Cd 6.8604 8.6209 7.0640
Cd 0.3310 0.1626 2.6522
```

Calculated values
- Symmetry: P2_1/m, No. 11
- Energy relative to the elements: -0.256 eV/atom
- Distance to the lowest polymorph of the same formula: 0.000 eV/atom
- Crystal system: monoclinic

***

Entry 8:
Computed, not measured: a geometry-optimized Sm2DyCd6 structure at the PBE level of DFT.

```
9
Lattice="-0.9243 0.2094 -3.2998 -4.7193 -7.2657 0.8607 -3.6426 7.7618 1.5130" Properties=species:S:1:pos:R:3 pbc="T T T"
Sm -4.0015 2.7526 1.2956
Sm -5.2847 -2.0471 -2.2216
Dy -3.6426 7.7618 1.5130
Cd -3.2338 0.2692 -0.8631
Cd -6.0524 0.4364 -0.0630
Cd -2.8974 5.2938 -0.6384
Cd -7.2598 3.0091 0.4385
Cd -2.0264 -2.3036 -1.3646
Cd -6.3889 -4.5882 -0.2876
```

Calculated values
- Symmetry: P6/mmm, No. 191
- Energy relative to the elements: -0.329 eV/atom
- Crystal system: hexagonal

***

Entry 9:
Computed, not measured: a geometry-optimized SmDyCd17 structure at the PBE level of DFT.

```
19
Lattice="7.5993 0.0751 0.9806 0.8717 7.5495 0.9806 0.0834 0.0751 7.6619" Properties=species:S:1:pos:R:3 pbc="T T T"
Sm 5.7218 5.1501 6.4365
Dy 2.7754 2.4981 3.1221
Cd 2.3566 0.0888 5.6180
Cd 5.5400 2.3343 0.9914
Cd 0.6445 5.2646 2.9986
Cd 2.9025 5.2646 0.9914
Cd 0.3355 2.3343 5.6180
Cd 5.3032 0.0888 2.9986
Cd 3.4084 6.6625 3.8342
Cd 2.9896 2.6909 7.3844
Cd 6.9833 2.6909 3.8342
Cd 4.9656 1.6811 5.5859
Cd 5.2905 4.7619 2.8320
Cd 2.1926 4.7619 5.5859
Cd 7.9659 4.1114 8.9609
Cd 8.3223 7.4908 5.9401
Cd 4.9241 7.4908 8.9609
Cd 7.7644 6.9886 8.7343
Cd 0.8805 0.7926 0.9905
```

Calculated values
- Symmetry: R3m, No. 160
- Energy relative to the elements: -0.121 eV/atom
- Crystal system: trigonal

***

Entry 10:
Computed, not measured: a geometry-optimized Sm2DyCd3 structure at the PBE level of DFT.

```
6
Lattice="5.3595 0.0000 0.0000 -2.6797 4.6414 0.0000 0.0000 0.0000 6.5716" Properties=species:S:1:pos:R:3 pbc="T T T"
Sm 2.6797 1.5471 2.1606
Sm 0.0000 3.0943 4.4110
Dy 0.0000 0.0000 0.0000
Cd 0.0000 0.0000 3.2858
Cd 2.6797 1.5471 5.4817
Cd 0.0000 3.0943 1.0899
```

Calculated values
- Symmetry: P-3m1, No. 164
- Energy relative to the elements: -0.316 eV/atom
- Crystal system: trigonal

***

Entry 11:
Computed, not measured: a geometry-optimized Sm3DyCd structure at the PBE level of DFT.

```
10
Lattice="3.5070 0.0000 -0.6206 -0.2662 8.2707 -1.5046 0.1563 -1.3461 11.1031" Properties=species:S:1:pos:R:3 pbc="T T T"
Sm -0.0079 1.8954 -0.0447
Sm 3.4050 5.0292 9.0227
Sm 1.1955 6.8792 6.7561
Sm 2.2016 0.0454 2.2218
Sm 0.5509 3.2029 3.1136
Sm 2.8461 3.7218 5.8644
Dy 2.4227 6.1453 3.4715
Dy 0.9744 0.7793 5.5065
Cd 1.8906 4.7558 0.4641
Cd 1.5065 2.1688 8.5139
```

Calculated values
- Symmetry: C2/m, No. 12
- Energy relative to the elements: -0.020 eV/atom
- Distance to the lowest polymorph of the same formula: 0.007 eV/atom
- Crystal system: monoclinic

***

Entry 12:
Computed, not measured: a geometry-optimized SmDyCd structure at the PBE level of DFT.

```
3
Lattice="3.6522 0.0000 0.0000 0.0000 3.6522 0.0000 -1.8261 -1.8261 6.5184" Properties=species:S:1:pos:R:3 pbc="T T T"
Cd 1.8261 1.8261 2.1251
Sm 0.0000 0.0000 4.2335
Dy 0.0000 0.0000 0.1599
```

Calculated values
- Symmetry: I4mm, No. 107
- Energy relative to the elements: -0.195 eV/atom
- Distance to the lowest polymorph of the same formula: 0.000 eV/atom
- Crystal system: tetragonal

***

no.,M_tot (μB per formula unit)
1,0.596
2,0.000
3,0.002
4,0.570
5,0.000
6,0.006
7,0.001
8,0.135
9,0.000
10,1.093
11,0.000
12,0.579